Entry from the Alexandria database: a relaxed structure of AcLaGe2 (PBE).

Calculated values
Density of states at the Fermi level in states/eV per atom: 1.0121
Uncorrected energy in eV for the cell shown: -21.31
Crystal system: orthorhombic
Magnetization in μB/f.u.: 0.07
Formation energy from the elements in eV/atom: -0.76

abc: 4.698 4.213 6.256
angles: 90.00 112.03 90.00
Fractional coordinates of all 4 atoms:
Ge1 0.156 0.500 0.851
Ac1 0.724 0.000 0.986
La1 0.447 0.500 0.433
Ge2 0.004 0.000 0.548

***

Entry from the Alexandria database: a relaxed structure of Ac2La3Ge2 (PBE).

Calculated values
Density of states at the Fermi level in states/eV per atom: 1.1406
Uncorrected energy in eV for the cell shown: -35.74
Crystal system: monoclinic
Magnetization in μB/f.u.: 0.00
Formation energy from the elements in eV/atom: -0.50

abc: 4.443 6.726 9.093
angles: 111.09 90.00 109.29
Fractional coordinates of all 7 atoms:
La1 0.366 0.733 0.554
Ge1 0.839 0.678 0.789
La2 0.500 0.000 0.000
Ac1 0.154 0.308 0.810
Ge2 0.161 0.322 0.211
Ac2 0.846 0.692 0.190
La3 0.634 0.267 0.446

***

Entry from the Alexandria database: a relaxed structure of Ac12LaGe7 (PBE).

Calculated values
Density of states at the Fermi level in states/eV per atom: 1.1615
Uncorrected energy in eV for the cell shown: -94.86
Crystal system: trigonal
Magnetization in μB/f.u.: 0.02
Formation energy from the elements in eV/atom: -0.42

abc: 9.995 9.995 9.995
angles: 107.72 107.72 107.72
Fractional coordinates of all 20 atoms:
Ac1 0.073 0.695 0.227
Ac2 0.459 0.155 0.383
Ac3 0.227 0.073 0.695
Ge1 0.500 0.500 0.500
Ac4 0.305 0.773 0.927
La1 0.000 0.000 0.000
Ac5 0.927 0.305 0.773
Ac6 0.773 0.927 0.305
Ac7 0.155 0.383 0.459
Ac8 0.383 0.459 0.155
Ge2 0.884 0.960 0.651
Ge3 0.960 0.651 0.884
Ge4 0.651 0.884 0.960
Ac9 0.845 0.617 0.541
Ac10 0.695 0.227 0.073
Ge5 0.349 0.116 0.040
Ac11 0.541 0.845 0.617
Ge6 0.116 0.040 0.349
Ge7 0.040 0.349 0.116
Ac12 0.617 0.541 0.845

***

Entry from the Alexandria database: a relaxed structure of AcLaGe2 (PBE).

Calculated values
Density of states at the Fermi level in states/eV per atom: 1.4896
Uncorrected energy in eV for the cell shown: -20.60
Crystal system: trigonal
Magnetization in μB/f.u.: 0.00
Formation energy from the elements in eV/atom: -0.58

abc: 4.604 4.604 7.532
angles: 72.21 72.21 60.00
Fractional coordinates of all 4 atoms:
Ge1 0.744 0.744 0.769
Ge2 0.256 0.256 0.231
La1 0.000 0.000 0.000
Ac1 0.500 0.500 0.500

***

Entry from the Alexandria database: a relaxed structure of Ac5La5Ge6 (PBE).

Calculated values
Density of states at the Fermi level in states/eV per atom: 1.1469
Uncorrected energy in eV for the cell shown: -83.24
Crystal system: orthorhombic
Magnetization in μB/f.u.: 0.00
Formation energy from the elements in eV/atom: -0.65

abc: 7.028 9.212 9.212
angles: 119.73 90.00 90.00
Fractional coordinates of all 16 atoms:
Ge1 0.500 0.602 0.000
La1 0.752 0.665 0.334
Ac1 0.500 0.749 0.749
Ge2 0.500 0.000 0.602
La2 0.248 0.334 0.665
Ge3 0.000 0.598 0.598
Ge4 0.000 0.395 0.006
Ge5 0.000 0.006 0.395
La3 0.000 0.253 0.253
La4 0.248 0.665 0.334
Ge6 0.500 0.397 0.397
Ac2 0.000 0.000 0.750
Ac3 0.500 0.001 0.250
La5 0.752 0.334 0.665
Ac4 0.000 0.750 0.000
Ac5 0.500 0.250 0.001

***

Entry from the Alexandria database: a relaxed structure of Ac2LaGe6 (PBE).

Calculated values
Density of states at the Fermi level in states/eV per atom: 0.7772
Uncorrected energy in eV for the cell shown: -46.42
Crystal system: hexagonal
Magnetization in μB/f.u.: 0.00
Formation energy from the elements in eV/atom: -0.62

abc: 4.423 7.794 7.794
angles: 120.00 90.00 90.00
Fractional coordinates of all 9 atoms:
Ac1 0.000 0.667 0.333
La1 0.000 0.000 0.000
Ge1 0.500 0.000 0.670
Ge2 0.500 0.330 0.000
Ge3 0.500 0.670 0.670
Ge4 0.500 0.330 0.330
Ac2 0.000 0.333 0.667
Ge5 0.500 0.000 0.330
Ge6 0.500 0.670 0.000

***

Entry from the Alexandria database: a relaxed structure of Ac2LaGe2 (PBE).

Calculated values
E above lowest polymorph in meV per atom: 36.1
Density of states at the Fermi level in states/eV per atom: 0.8071
Uncorrected energy in eV for the cell shown: -51.08
Crystal system: monoclinic
Magnetization in μB/f.u.: 0.00
Formation energy from the elements in eV/atom: -0.63

abc: 4.657 7.052 10.691
angles: 78.67 77.42 70.72
Fractional coordinates of all 10 atoms:
La1 0.224 0.918 0.634
Ge1 0.990 0.128 0.893
Ge2 0.890 0.664 0.556
Ge3 0.010 0.872 0.107
Ac1 0.515 0.659 0.311
Ac2 0.321 0.269 0.088
La2 0.776 0.082 0.366
Ac3 0.485 0.341 0.689
Ac4 0.679 0.731 0.912
Ge4 0.110 0.336 0.444

***

Entry from the Alexandria database: a relaxed structure of AcLa2Ge (PBE).

Calculated values
E above lowest polymorph in meV per atom: 0.0
Density of states at the Fermi level in states/eV per atom: 1.1935
Uncorrected energy in eV for the cell shown: -81.58
Crystal system: orthorhombic
Magnetization in μB/f.u.: 0.00
Formation energy from the elements in eV/atom: -0.45

abc: 6.714 8.253 9.773
angles: 90.00 90.00 90.00
Fractional coordinates of all 16 atoms:
La1 0.120 0.686 0.052
Ac1 0.869 0.031 0.250
La2 0.620 0.814 0.948
La3 0.880 0.314 0.552
La4 0.620 0.814 0.552
La5 0.880 0.314 0.948
La6 0.380 0.186 0.052
Ge1 0.406 0.884 0.250
Ge2 0.094 0.384 0.250
Ac2 0.631 0.531 0.250
Ge3 0.906 0.616 0.750
La7 0.120 0.686 0.448
Ac3 0.369 0.469 0.750
Ge4 0.594 0.116 0.750
Ac4 0.131 0.969 0.750
La8 0.380 0.186 0.448

***

Entry from the Alexandria database: a relaxed structure of AcLa4Ge4 (PBE).

Calculated values
Density of states at the Fermi level in states/eV per atom: 1.3253
Uncorrected energy in eV for the cell shown: -94.47
Crystal system: tetragonal
Magnetization in μB/f.u.: 0.01
Formation energy from the elements in eV/atom: -0.55

abc: 6.190 9.661 9.661
angles: 90.00 90.00 90.00
Fractional coordinates of all 18 atoms:
La1 0.120 0.191 0.587
Ac1 0.000 0.000 0.000
La2 0.620 0.087 0.309
Ge1 0.129 0.134 0.279
La3 0.880 0.587 0.809
La4 0.380 0.309 0.913
Ge2 0.871 0.279 0.866
Ge3 0.629 0.779 0.366
Ge4 0.371 0.634 0.779
Ge5 0.129 0.866 0.721
La5 0.880 0.413 0.191
Ge6 0.371 0.366 0.221
La6 0.380 0.691 0.087
La7 0.620 0.913 0.691
Ac2 0.500 0.500 0.500
La8 0.120 0.809 0.413
Ge7 0.871 0.721 0.134
Ge8 0.629 0.221 0.634

***

Entry from the Alexandria database: a relaxed structure of AcLa2Ge (PBE).

Calculated values
E above lowest polymorph in meV per atom: 135.2
Density of states at the Fermi level in states/eV per atom: 1.3821
Uncorrected energy in eV for the cell shown: -19.85
Crystal system: trigonal
Magnetization in μB/f.u.: 0.00
Formation energy from the elements in eV/atom: -0.32

abc: 4.240 4.240 10.030
angles: 77.80 77.80 60.00
Fractional coordinates of all 4 atoms:
Ac1 0.501 0.501 0.496
La1 0.060 0.060 0.821
La2 0.273 0.273 0.180
Ge1 0.666 0.666 0.002

***

Entry from the Alexandria database: a relaxed structure of AcLa2Ge (PBE).

Calculated values
E above lowest polymorph in meV per atom: 89.6
Density of states at the Fermi level in states/eV per atom: 1.5106
Uncorrected energy in eV for the cell shown: -20.04
Crystal system: tetragonal
Magnetization in μB/f.u.: 0.00
Formation energy from the elements in eV/atom: -0.36

abc: 3.999 3.999 8.242
angles: 90.00 90.00 90.00
Fractional coordinates of all 4 atoms:
Ac1 0.500 0.500 0.500
Ge1 0.500 0.500 0.000
La1 0.000 0.000 0.184
La2 0.000 0.000 0.816

***

Entry from the Alexandria database: a relaxed structure of LiAcLaGe (PBE).

Calculated values
Density of states at the Fermi level in states/eV per atom: 0.6507
Uncorrected energy in eV for the cell shown: -17.00
Crystal system: cubic
Magnetization in μB/f.u.: 0.00
Formation energy from the elements in eV/atom: -0.36

abc: 5.437 5.437 5.437
angles: 60.00 60.00 60.00
Fractional coordinates of all 4 atoms:
Ge1 0.750 0.750 0.750
Ac1 0.000 0.000 0.000
La1 0.500 0.500 0.500
Li1 0.250 0.250 0.250

***

Entry from the Alexandria database: a relaxed structure of Li2Ac2LaGe2 (PBE).

Calculated values
Density of states at the Fermi level in states/eV per atom: 0.9036
Uncorrected energy in eV for the cell shown: -29.51
Crystal system: trigonal
Magnetization in μB/f.u.: 0.13
Formation energy from the elements in eV/atom: -0.47

abc: 4.594 4.594 11.157
angles: 78.12 78.12 60.00
Fractional coordinates of all 7 atoms:
Ge1 0.724 0.724 0.827
Li1 0.385 0.385 0.844
Li2 0.615 0.615 0.156
La1 0.000 0.000 0.000
Ge2 0.276 0.276 0.173
Ac1 0.881 0.881 0.357
Ac2 0.119 0.119 0.643

***

Entry from the Alexandria database: a relaxed structure of Ac2LaGeN (PBE).

Calculated values
Density of states at the Fermi level in states/eV per atom: 0.8480
Uncorrected formation energy in eV per atom: -0.651
Uncorrected energy in eV for the cell shown: -58.68
Crystal system: orthorhombic
Magnetization in μB/f.u.: 0.00

abc: 4.131 8.950 8.052
angles: 90.00 90.00 103.34
Fractional coordinates of all 10 atoms:
Ge1 0.312 0.624 0.250
Ac1 0.144 0.289 0.479
Ac2 0.856 0.711 0.521
Ge2 0.688 0.376 0.750
La1 0.508 0.016 0.750
N1 0.000 0.000 0.000
N2 0.000 0.000 0.500
Ac3 0.856 0.711 0.979
Ac4 0.144 0.289 0.021
La2 0.492 0.984 0.250

***

Entry from the Alexandria database: a relaxed structure of Ac2La2Ge2N (PBE).

Calculated values
Density of states at the Fermi level in states/eV per atom: 0.6444
Uncorrected formation energy in eV per atom: -0.872
Uncorrected energy in eV for the cell shown: -41.74
Crystal system: tetragonal
Magnetization in μB/f.u.: 0.00

abc: 4.940 4.940 9.080
angles: 105.78 105.78 90.00
Fractional coordinates of all 7 atoms:
N1 0.000 0.000 0.000
Ge1 0.633 0.633 0.266
La1 0.500 0.000 0.000
Ac1 0.174 0.174 0.348
Ac2 0.826 0.826 0.652
La2 0.000 0.500 0.000
Ge2 0.367 0.367 0.734

***

Entry from the Alexandria database: a relaxed structure of Ac2LaGeN4 (PBE).

Calculated values
Density of states at the Fermi level in states/eV per atom: 0.0868
Uncorrected formation energy in eV per atom: -0.783
Uncorrected energy in eV for the cell shown: -114.65
Crystal system: orthorhombic
Magnetization in μB/f.u.: 0.00

abc: 3.802 6.337 12.796
angles: 90.00 90.00 107.46
Fractional coordinates of all 16 atoms:
La1 0.898 0.796 0.250
N1 0.280 0.560 0.139
Ac1 0.368 0.737 0.548
Ge1 0.173 0.347 0.250
N2 0.000 0.000 0.000
Ac2 0.632 0.263 0.048
N3 0.588 0.176 0.250
N4 0.280 0.560 0.361
Ge2 0.827 0.653 0.750
N5 0.000 0.000 0.500
La2 0.102 0.204 0.750
N6 0.412 0.824 0.750
N7 0.720 0.440 0.639
Ac3 0.368 0.737 0.952
Ac4 0.632 0.263 0.452
N8 0.720 0.440 0.861

***

Entry from the Alexandria database: a relaxed structure of NaAcLaGe (PBE).

Calculated values
Density of states at the Fermi level in states/eV per atom: 0.5886
Uncorrected energy in eV for the cell shown: -15.93
Crystal system: cubic
Magnetization in μB/f.u.: 0.00
Formation energy from the elements in eV/atom: -0.24

abc: 5.541 5.541 5.541
angles: 60.00 60.00 60.00
Fractional coordinates of all 4 atoms:
Ac1 0.000 0.000 0.000
La1 0.500 0.500 0.500
Ge1 0.250 0.250 0.250
Na1 0.750 0.750 0.750

***

Entry from the Alexandria database: a relaxed structure of AcLaNdGe (PBE).

Calculated values
Density of states at the Fermi level in states/eV per atom: 1.4724
Uncorrected energy in eV for the cell shown: -18.69
Crystal system: cubic
Magnetization in μB/f.u.: 0.00
Formation energy from the elements in eV/atom: -0.07

abc: 5.592 5.592 5.592
angles: 60.00 60.00 60.00
Fractional coordinates of all 4 atoms:
Nd1 0.750 0.750 0.750
Ge1 0.500 0.500 0.500
La1 0.250 0.250 0.250
Ac1 0.000 0.000 0.000

***

Entry from the Alexandria database: a relaxed structure of AcLaNiGe (PBE).

Calculated values
Density of states at the Fermi level in states/eV per atom: 0.3978
Uncorrected energy in eV for the cell shown: -21.01
Crystal system: cubic
Magnetization in μB/f.u.: 0.00
Formation energy from the elements in eV/atom: -0.39

abc: 5.294 5.294 5.294
angles: 60.00 60.00 60.00
Fractional coordinates of all 4 atoms:
La1 0.000 0.000 0.000
Ni1 0.250 0.250 0.250
Ge1 0.750 0.750 0.750
Ac1 0.500 0.500 0.500

***

Entry from the Alexandria database: a relaxed structure of AcLa2Ni2Ge2 (PBE).

Calculated values
Density of states at the Fermi level in states/eV per atom: 0.7460
Uncorrected energy in eV for the cell shown: -38.87
Crystal system: trigonal
Magnetization in μB/f.u.: 0.00
Formation energy from the elements in eV/atom: -0.59

abc: 4.389 4.389 10.280
angles: 77.67 77.67 60.00
Fractional coordinates of all 7 atoms:
Ni1 0.404 0.404 0.788
Ac1 0.000 0.000 0.000
La1 0.873 0.873 0.382
Ni2 0.596 0.596 0.212
Ge1 0.740 0.740 0.780
Ge2 0.260 0.260 0.220
La2 0.127 0.127 0.618

***

Entry from the Alexandria database: a relaxed structure of AcLaGeO (PBE).

Calculated values
Density of states at the Fermi level in states/eV per atom: 0.3435
Uncorrected formation energy in eV per atom: -1.823
Uncorrected energy in eV for the cell shown: -51.81
Crystal system: tetragonal
Magnetization in μB/f.u.: 0.00

abc: 4.728 4.728 9.350
angles: 90.00 90.00 90.00
Fractional coordinates of all 8 atoms:
La1 0.500 0.500 0.500
Ge1 0.000 0.500 0.786
O1 0.500 0.000 0.582
Ac1 0.000 0.500 0.154
La2 0.000 0.000 0.500
O2 0.000 0.500 0.418
Ac2 0.500 0.000 0.846
Ge2 0.500 0.000 0.214

***

Entry from the Alexandria database: a relaxed structure of Ac2LaGeO8 (PBE).

Calculated values
Density of states at the Fermi level in states/eV per atom: 0.5346
Uncorrected formation energy in eV per atom: -2.155
Uncorrected energy in eV for the cell shown: -83.29
Crystal system: trigonal
Magnetization in μB/f.u.: 3.05

abc: 5.525 5.525 6.613
angles: 90.00 90.00 120.00
Last column: magnetic moment on the atom in μB.
Fractional coordinates of all 12 atoms:
O1 0.667 0.333 0.478  0.65
O2 0.158 0.316 0.175  0.20
O3 0.842 0.684 0.825  0.20
O4 0.316 0.158 0.825  0.20
O5 0.333 0.667 0.522  0.65
Ac1 0.333 0.667 0.858  0.10
Ge1 0.000 0.000 0.000  0.01
Ac2 0.667 0.333 0.142  0.10
O6 0.842 0.158 0.825  0.20
La1 0.000 0.000 0.500  -0.01
O7 0.158 0.842 0.175  0.20
O8 0.684 0.842 0.175  0.20

***

Entry from the Alexandria database: a relaxed structure of AcLaGeP (PBE).

Calculated values
Density of states at the Fermi level in states/eV per atom: 1.3753
Uncorrected energy in eV for the cell shown: -22.09
Crystal system: cubic
Magnetization in μB/f.u.: 0.00
Formation energy from the elements in eV/atom: -0.76

abc: 5.341 5.341 5.341
angles: 60.00 60.00 60.00
Fractional coordinates of all 4 atoms:
P1 0.750 0.750 0.750
Ac1 0.500 0.500 0.500
La1 0.000 0.000 0.000
Ge1 0.250 0.250 0.250

***

Entry from the Alexandria database: a relaxed structure of AcLaPaGe (PBE).

Calculated values
Density of states at the Fermi level in states/eV per atom: 2.0324
Uncorrected energy in eV for the cell shown: -22.27
Crystal system: cubic
Magnetization in μB/f.u.: 1.41
Formation energy from the elements in eV/atom: 0.22

abc: 5.469 5.469 5.469
angles: 60.00 60.00 60.00
Last column: magnetic moment on the atom in μB.
Fractional coordinates of all 4 atoms:
Pa1 0.750 0.750 0.750  0.83
Ge1 0.000 0.000 0.000  -0.01
La1 0.250 0.250 0.250  0.07
Ac1 0.500 0.500 0.500  0.17